#w
The following is a meta-GGA SCAN calculation of CrTcNi2 at its PBEsol-relaxed geometry, from the Alexandria database.

Lattice parameters (Å, degrees): 8.324 2.472 4.502 90.00 97.81 90.00
Space group Cm (No. 8)
Inequivalent atoms, fractional coordinates:
Cr: 0.000 0.000 0.000 (multiplicity 2)
Tc: 0.260 0.500 0.269 (multiplicity 2)
Ni: 0.008 0.500 0.526 (multiplicity 2)
Ni: 0.258 0.000 0.763 (multiplicity 2)

Summary:
As for the crystal system: monoclinic.

#x
The following is a meta-GGA SCAN calculation of CrTcNi2 at its PBEsol-relaxed geometry, from the Alexandria database.

Lattice parameters (Å, degrees): 3.482 3.482 7.525 90.00 90.00 90.00
Space group I4/mmm (No. 139)
Inequivalent atoms, fractional coordinates:
Cr: 0.000 0.000 0.000 (multiplicity 2)
Tc: 0.000 0.000 0.500 (multiplicity 2)
Ni: 0.000 0.500 0.250 (multiplicity 4)

Summary:
As for the crystal system: tetragonal.

Short version: #x is the most stable of them.

#w
The following is a meta-GGA SCAN calculation of CrTcNi2 at its PBEsol-relaxed geometry, from the Alexandria database.

Lattice parameters (Å, degrees): 3.490 3.490 3.753 90.00 90.00 90.00
Space group P4/mmm (No. 123)
Inequivalent atoms, fractional coordinates:
Cr: 0.000 0.000 0.000 (multiplicity 1)
Tc: 0.500 0.500 0.000 (multiplicity 1)
Ni: 0.000 0.500 0.500 (multiplicity 2)

Summary:
As for the crystal system: tetragonal.

#x
The following is a meta-GGA SCAN calculation of CrTcNi2 at its PBEsol-relaxed geometry, from the Alexandria database.

Lattice parameters (Å, degrees): 4.922 7.497 2.484 90.00 90.00 90.00
Space group Cmmm (No. 65)
Inequivalent atoms, fractional coordinates:
Cr: 0.000 0.000 0.000 (multiplicity 2)
Tc: 0.000 0.500 0.000 (multiplicity 2)
Ni: 0.250 0.250 0.500 (multiplicity 4)

Summary:
As for the crystal system: orthorhombic.

#y
The following is a meta-GGA SCAN calculation of CrTcNi2 at its PBEsol-relaxed geometry, from the Alexandria database.

Lattice parameters (Å, degrees): 2.500 4.069 4.480 90.00 90.00 90.00
Space group Pmm2 (No. 25)
Inequivalent atoms, fractional coordinates:
Cr: 0.000 0.000 0.000 (multiplicity 1)
Tc: 0.000 0.500 0.678 (multiplicity 1)
Ni: 0.500 0.000 0.485 (multiplicity 1)
Ni: 0.500 0.500 0.180 (multiplicity 1)

Summary:
As for the crystal system: orthorhombic.

#z
The following is a meta-GGA SCAN calculation of CrTcNi2 at its PBEsol-relaxed geometry, from the Alexandria database.

Lattice parameters (Å, degrees): 2.484 2.484 7.403 90.00 90.00 90.00
Space group P4/mmm (No. 123)
Inequivalent atoms, fractional coordinates:
Cr: 0.000 0.000 0.000 (multiplicity 1)
Tc: 0.000 0.000 0.500 (multiplicity 1)
Ni: 0.500 0.500 0.238 (multiplicity 2)

Summary:
As for the crystal system: tetragonal.

Short version: #w is the most stable of them.

#w
The following is a meta-GGA SCAN calculation of CrNiTe at its PBEsol-relaxed geometry, from the Alexandria database.

Lattice parameters (Å, degrees): 4.0538 4.0538 3.4961 90.00 90.00 120.00
Space group P3m1 (No. 156)
Inequivalent atoms, fractional coordinates:
Cr: 0.0000 0.0000 0.0000 (multiplicity 1)
Ni: 0.3333 0.6667 0.3916 (multiplicity 1)
Te: 0.6667 0.3333 0.5501 (multiplicity 1)

Summary:
As for the crystal system: trigonal.

#x
The following is a meta-GGA SCAN calculation of CrNiTe at its PBEsol-relaxed geometry, from the Alexandria database.

Lattice parameters (Å, degrees): 5.884 5.884 5.884 90.00 90.00 90.00
Space group F-43m (No. 216)
Inequivalent atoms, fractional coordinates:
Cr: 0.000 0.000 0.000 (multiplicity 4)
Ni: 0.250 0.250 0.250 (multiplicity 4)
Te: 0.000 0.000 0.500 (multiplicity 4)

Summary:
As for the crystal system: cubic.

Short version: #x is the most stable of them.

#w
The following is a meta-GGA SCAN calculation of TlCr2Ni at its PBEsol-relaxed geometry, from the Alexandria database.

Lattice parameters (Å, degrees): 2.999 2.999 6.706 90.00 90.00 90.00
Space group P4/mmm (No. 123)
Inequivalent atoms, fractional coordinates:
Tl: 0.000 0.000 0.000 (multiplicity 1)
Cr: 0.500 0.500 0.296 (multiplicity 2)
Ni: 0.000 0.000 0.500 (multiplicity 1)

Summary:
As for the crystal system: tetragonal.

#x
The following is a meta-GGA SCAN calculation of TlCr2Ni at its PBEsol-relaxed geometry, from the Alexandria database.

Lattice parameters (Å, degrees): 3.039 3.039 6.033 90.00 90.00 90.00
Space group P4mm (No. 99)
Inequivalent atoms, fractional coordinates:
Tl: 0.000 0.000 0.000 (multiplicity 1)
Cr: 0.000 0.000 0.497 (multiplicity 1)
Cr: 0.500 0.500 0.319 (multiplicity 1)
Ni: 0.500 0.500 0.736 (multiplicity 1)

Summary:
As for the crystal system: tetragonal.

Short version: #x is the most stable of them.

#w
The following is a meta-GGA SCAN calculation of TlCrNi at its PBEsol-relaxed geometry, from the Alexandria database.

Lattice parameters (Å, degrees): 6.089 6.089 6.089 90.00 90.00 90.00
Space group F-43m (No. 216)
Inequivalent atoms, fractional coordinates:
Tl: 0.000 0.000 0.000 (multiplicity 4)
Cr: 0.250 0.250 0.250 (multiplicity 4)
Ni: 0.250 0.250 0.750 (multiplicity 4)

Summary:
As for the crystal system: cubic.

#x
The following is a meta-GGA SCAN calculation of TlCrNi at its PBEsol-relaxed geometry, from the Alexandria database.

Lattice parameters (Å, degrees): 3.230 3.230 8.790 90.00 90.00 90.00
Space group I4mm (No. 107)
Inequivalent atoms, fractional coordinates:
Tl: 0.000 0.000 0.000 (multiplicity 2)
Cr: 0.000 0.000 0.312 (multiplicity 2)
Ni: 0.000 0.000 0.675 (multiplicity 2)

Summary:
As for the crystal system: tetragonal.

Short version: #x is the most stable of them.

#w
The following is a meta-GGA SCAN calculation of TlCrNi2 at its PBEsol-relaxed geometry, from the Alexandria database.

Lattice parameters (Å, degrees): 2.8517 2.8517 24.2074 90.00 90.00 120.00
Space group R-3m (No. 166, hexagonal axes)
Inequivalent atoms, fractional coordinates:
Tl: 0.0000 0.0000 0.0000 (multiplicity 3)
Cr: 0.0000 0.0000 0.5000 (multiplicity 3)
Ni: 0.0000 0.0000 0.2400 (multiplicity 6)

Summary:
As for the crystal system: trigonal.

#x
The following is a meta-GGA SCAN calculation of TlCrNi2 at its PBEsol-relaxed geometry, from the Alexandria database.

Lattice parameters (Å, degrees): 6.025 6.025 6.025 90.00 90.00 90.00
Space group Fm-3m (No. 225)
Inequivalent atoms, fractional coordinates:
Tl: 0.000 0.000 0.000 (multiplicity 4)
Cr: 0.000 0.000 0.500 (multiplicity 4)
Ni: 0.250 0.250 0.250 (multiplicity 8)

Summary:
As for the crystal system: cubic.

Short version: #x is the most stable of them.

#w
The following is a meta-GGA SCAN calculation of CrNiW2 at its PBEsol-relaxed geometry, from the Alexandria database.

Lattice parameters (Å, degrees): 3.173 4.173 8.107 90.00 90.00 90.00
Space group Cmm2 (No. 35)
Inequivalent atoms, fractional coordinates:
Cr: 0.000 0.000 0.000 (multiplicity 2)
Ni: 0.000 0.500 0.781 (multiplicity 2)
W: 0.000 0.000 0.536 (multiplicity 2)
W: 0.000 0.500 0.255 (multiplicity 2)

Summary:
As for the crystal system: orthorhombic.

#x
The following is a meta-GGA SCAN calculation of CrNiW2 at its PBEsol-relaxed geometry, from the Alexandria database.

Lattice parameters (Å, degrees): 3.123 4.210 8.145 90.00 90.00 90.00
Space group Cmmm (No. 65)
Inequivalent atoms, fractional coordinates:
Cr: 0.000 0.000 0.000 (multiplicity 2)
Ni: 0.000 0.000 0.500 (multiplicity 2)
W: 0.000 0.500 0.254 (multiplicity 4)

Summary:
As for the crystal system: orthorhombic.

Short version: #x is the most stable of them.